Entry 1:
## LaTbPd2 (PBE-GGA)

Data for crystalline LaTbPd2 at its relaxed geometry.

abc: 4.192 4.192 7.214
angles: 73.11 73.11 60.00
Sites, in units of the cell vectors:
1 Tb 0.500 0.500 0.500
2 Pd 0.754 0.754 0.737
3 Pd 0.246 0.246 0.263
4 La 0.000 0.000 0.000

## Properties
Distance to the lowest polymorph of the same formula = 113 meV per atom
Formation energy from the elements = -747 meV/atom
Mass density = 8.20 g/cm3

---

Entry 2:
## Li2SmThGe2 (PBE-GGA)

Data for crystalline Li2SmThGe2 at its relaxed geometry.

abc: 4.483 4.483 7.396
angles: 90.00 90.00 120.00
Sites, in units of the cell vectors:
1 Li 0.333 0.667 0.773
2 Li 0.667 0.333 0.227
3 Sm 0.000 0.000 0.000
4 Th 0.000 0.000 0.500
5 Ge 0.333 0.667 0.251
6 Ge 0.667 0.333 0.749

## Properties
Formation energy from the elements = -622 meV/atom
Mass density = 6.99 g/cm3

---

Entry 3:
## LiOsPt3 (PBE-GGA)

Data for crystalline LiOsPt3 at its relaxed geometry.

abc: 4.857 4.857 4.857
angles: 90.00 90.00 90.00
Sites, in units of the cell vectors:
1 Os 0.000 0.000 0.000
2 Pt 0.000 0.500 0.000
3 Pt 0.000 0.000 0.500
4 Pt 0.500 0.000 0.000
5 Li 0.500 0.500 0.500

## Properties
Formation energy from the elements = 920 meV/atom
Mass density = 11.34 g/cm3

---

Entry 4:
## RbNb2Ge (PBE-GGA)

Data for crystalline RbNb2Ge at its relaxed geometry.

abc: 4.833 4.833 10.263
angles: 76.38 76.38 90.00
Sites, in units of the cell vectors:
1 Nb 0.454 0.125 0.250
2 Nb 0.296 0.625 0.250
3 Nb 0.375 0.546 0.750
4 Nb 0.875 0.704 0.750
5 Ge 0.500 0.500 0.000
6 Ge 0.250 0.750 0.500
7 Rb 0.000 0.000 0.000
8 Rb 0.750 0.250 0.500

## Properties
Formation energy from the elements = 1056 meV/atom
Mass density = 5.05 g/cm3

---

Entry 5:
## HfTePtBr2 (PBE-GGA)

Data for crystalline HfTePtBr2 at its relaxed geometry.

abc: 5.025 5.806 5.025
angles: 90.00 90.00 90.00
Each line ends with the local moment (μB).
Sites, in units of the cell vectors:
1 Te 0.000 0.500 0.000  0.00
2 Hf 0.000 0.000 0.000  0.02
3 Br 0.000 0.000 0.500  0.00
4 Br 0.500 0.000 0.000  0.00
5 Pt 0.500 0.500 0.500  0.14

## Properties
Mass density = 7.49 g/cm3
Formation energy (no corrections) = 0.105 eV per atom

---

Entry 6:
## Ta3CdB (PBE-GGA)

Data for crystalline Ta3CdB at its relaxed geometry.

abc: 4.390 4.390 4.390
angles: 90.00 90.00 90.00
Sites, in units of the cell vectors:
1 B 0.000 0.000 0.000
2 Cd 0.500 0.500 0.500
3 Ta 0.000 0.500 0.000
4 Ta 0.000 0.000 0.500
5 Ta 0.500 0.000 0.000

## Properties
Distance to the lowest polymorph of the same formula = 0 meV per atom
Formation energy from the elements = 51 meV/atom
Mass density = 13.07 g/cm3

---

Entry 7:
## RbBeCoPd2 (PBE-GGA)

Data for crystalline RbBeCoPd2 at its relaxed geometry.

abc: 4.837 4.346 4.837
angles: 90.00 90.00 90.00
Each line ends with the local moment (μB).
Sites, in units of the cell vectors:
1 Be 0.000 0.500 0.000  -0.05
2 Co 0.000 0.000 0.000  1.56
3 Rb 0.500 0.500 0.500  -0.01
4 Pd 0.000 0.000 0.500  0.36
5 Pd 0.500 0.000 0.000  0.14

## Properties
Distance to the lowest polymorph of the same formula = 0 meV per atom
Formation energy from the elements = 666 meV/atom
Mass density = 5.98 g/cm3

---

Entry 8:
## Ce3Pa5 (PBE-GGA)

Data for crystalline Ce3Pa5 at its relaxed geometry.

abc: 3.220 5.679 11.089
angles: 90.00 90.00 90.00
Sites, in units of the cell vectors:
1 Ce 0.500 0.000 0.711
2 Ce 0.500 0.500 0.529
3 Ce 0.000 0.500 0.794
4 Pa 0.000 0.000 0.969
5 Pa 0.500 0.000 0.215
6 Pa 0.000 0.000 0.459
7 Pa 0.500 0.500 0.040
8 Pa 0.000 0.500 0.282

## Properties
Distance to the lowest polymorph of the same formula = 43 meV per atom
Formation energy from the elements = 54 meV/atom
Mass density = 12.90 g/cm3

---

Entry 9:
## ZrZn2Cd (PBE-GGA)

Data for crystalline ZrZn2Cd at its relaxed geometry.

abc: 5.769 5.769 5.769
angles: 148.49 131.23 59.23
Sites, in units of the cell vectors:
1 Cd 0.237 0.737 0.500
2 Zn 0.982 0.982 0.000
3 Zn 0.768 0.268 0.500
4 Zr 0.514 0.514 0.000

## Properties
Formation energy from the elements = -19 meV/atom
Mass density = 7.42 g/cm3

---

Entry 10:
## Pm8GaRh3Br4 (PBE-GGA)

Data for crystalline Pm8GaRh3Br4 at its relaxed geometry.

abc: 8.332 9.057 8.329
angles: 117.40 120.01 90.00
Sites, in units of the cell vectors:
1 Pm 0.239 0.698 0.959
2 Pm 0.239 0.698 0.479
3 Pm 0.266 0.299 0.532
4 Pm 0.720 0.698 0.959
5 Pm 0.280 0.302 0.041
6 Pm 0.734 0.701 0.468
7 Pm 0.761 0.302 0.521
8 Pm 0.761 0.302 0.041
9 Ga 0.000 0.500 0.000
10 Rh 0.500 0.500 0.000
11 Rh 0.500 0.500 0.500
12 Rh 0.000 0.500 0.500
13 Br 0.500 0.000 0.000
14 Br 0.500 0.000 0.500
15 Br 0.000 0.000 0.000
16 Br 0.000 0.000 0.500

## Properties
Mass density = 6.69 g/cm3
Formation energy (no corrections) = -0.994 eV per atom

---

Entry 11:
## BaAuBr (PBE-GGA)

Data for crystalline BaAuBr at its relaxed geometry.

abc: 5.499 5.499 5.499
angles: 60.00 60.00 60.00
Sites, in units of the cell vectors:
1 Au 0.500 0.500 0.500
2 Ba 0.750 0.750 0.750
3 Br 0.000 0.000 0.000

## Properties
Distance to the lowest polymorph of the same formula = 120 meV per atom
Mass density = 5.85 g/cm3
Formation energy (no corrections) = -1.273 eV per atom